# 1
Material: Ta2PtPbI
Method: DFT, PBE-GGA
State: optimized geometry

ΔE_f (raw): 2.03 eV/atom

Unit cell a=5.3066 b=5.3066 c=4.9890 alpha=90.00 beta=90.00 gamma=90.00
Closest atoms and distances in Å follow each position.
Space group P4/mmm (No. 123)
One atom of each set of equivalent atoms:
Ta 0.0000 0.5000 0.0000 x2  2 Pb 2.65
Pt 0.0000 0.0000 0.5000 x1  2 Pb 2.49
Pb 0.0000 0.0000 0.0000 x1  2 Pt 2.49, 4 Ta 2.65
I 0.5000 0.5000 0.5000 x1  8 Ta 3.64, 4 Pt 3.75



# 2
Material: K4SmTh3Te8
Method: DFT, PBE-GGA
State: optimized geometry

ΔE_f (raw): -1.23 eV/atom

Unit cell a=8.9797 b=8.9797 c=25.3369 alpha=90.00 beta=90.00 gamma=120.00
Closest atoms and distances in Å follow each position.
Space group R-3m (No. 166, hexagonal axes)
One atom of each set of equivalent atoms:
K 0.0000 0.0000 0.0000 x3  6 Te 3.52
K 0.0000 0.5000 0.0000 x9  6 Te 3.50-3.52
Sm 0.0000 0.0000 0.5000 x3  6 Te 3.18
Th 0.0000 0.5000 0.5000 x9  6 Te 3.18-3.19
Te 0.0000 0.0000 0.2403 x6  3 Th 3.19, 3 K 3.50
Te 0.0005 0.5003 0.2395 x18  1 Sm 3.18, 2 Th 3.18, 3 K 3.52



# 3
Material: Ac3Ga3Pd
Method: DFT, PBE-GGA
State: optimized geometry

E_form: -0.60 eV per atom

Unit cell a=11.6400 b=4.6452 c=15.3272 alpha=90.00 beta=108.85 gamma=90.00
Closest atoms and distances in Å follow each position.
Space group C2/m (No. 12)
One atom of each set of equivalent atoms:
Ac 0.0287 0.0000 0.3849 x4  7 Ga 3.32-3.65, 4 Pd 3.37-3.61
Ac 0.1111 0.0000 0.9210 x4  7 Ga 3.34-3.38
Ac 0.2395 0.0000 0.2327 x4  6 Ga 3.31-3.46, 2 Pd 3.35
Ga 0.0361 0.5000 0.2316 x4  1 Ga 2.73, 1 Pd 2.81
Ga 0.0975 0.5000 0.0743 x4  2 Ga 2.65-2.73
Ga 0.1617 0.5000 0.5393 x4  3 Pd 2.65-2.73
Pd 0.2420 0.5000 0.3906 x4  4 Ga 2.65-2.81



Number 1: uncorrected energy -0.18271 Ha/atom. Number 2: uncorrected energy -0.17501 Ha/atom. Number 3: uncorrected energy -0.16184 Ha/atom.